No. 1
SrMgFeC (PBE, relaxed); energy of formation from the pure elements = 0.1516 eV/atom; space group = P4/nmm (129); DFT total energy = -5.089 eV per atom
1.0
-0.195 1.547 -3.318
3.301 -1.362 -0.829
-4.892 -9.367 -4.081
Sr Mg Fe C
2 2 2 2
Direct
0.750 0.750 0.216
0.250 0.250 0.784
0.250 0.750 0.500
0.750 0.250 0.500
0.750 0.250 0.000
0.250 0.750 0.000
0.750 0.750 0.935
0.250 0.250 0.065



No. 2
TbMgFeC (PBE, relaxed); energy of formation from the pure elements = 0.0535 eV/atom; space group = P4/nmm (129); DFT total energy = -5.924 eV per atom
1.0
-1.646 -0.349 3.177
3.196 -0.198 1.634
0.046 10.302 1.157
Tb Mg Fe C
2 2 2 2
Direct
0.750 0.750 0.210
0.250 0.250 0.790
0.250 0.750 0.500
0.750 0.250 0.500
0.750 0.250 0.000
0.250 0.750 0.000
0.750 0.750 0.916
0.250 0.250 0.084



No. 3
MgFeTcC2 (PBE, relaxed); energy of formation from the pure elements = 2.7799 eV/atom; space group = P4/mmm (123); DFT total energy = -4.994 eV per atom
1.0
-1.828 2.694 -2.214
-0.411 -2.977 -3.283
-3.467 -1.144 1.471
C Mg Tc Fe
2 1 1 1
Direct
0.000 0.000 0.500
0.500 0.000 0.000
0.000 0.000 0.000
0.500 0.500 0.500
0.000 0.500 0.000



No. 4
MgFeTc2C (PBE, relaxed); energy of formation from the pure elements = 0.1258 eV/atom; space group = P4/mmm (123); DFT total energy = -7.877 eV per atom
1.0
-3.472 0.519 -2.146
0.807 -3.425 -2.133
-1.923 -2.078 2.609
C Mg Tc Fe
1 1 2 1
Direct
0.000 0.000 0.000
0.500 0.500 0.500
0.000 0.500 0.000
0.500 0.000 0.000
0.000 0.000 0.500



No. 5
MgFeWC2 (PBE, relaxed); energy of formation from the pure elements = 2.7851 eV/atom; space group = P4/mmm (123); DFT total energy = -5.507 eV per atom
1.0
3.898 0.000 0.000
0.000 4.176 0.000
0.000 0.000 3.898
C Mg Fe W
2 1 1 1
Direct
0.000 0.000 0.500
0.500 0.000 0.000
0.000 0.000 0.000
0.000 0.500 0.000
0.500 0.500 0.500



No. 6
Y2MgFeC (PBE, relaxed); energy of formation from the pure elements = -0.2061 eV/atom; space group = P4/mmm (123); DFT total energy = -6.648 eV per atom
1.0
-0.038 4.242 -2.744
-0.256 -2.742 -4.235
-3.717 0.079 0.173
Y C Mg Fe
2 1 1 1
Direct
0.000 0.500 0.000
0.500 0.000 0.000
0.000 0.000 0.000
0.500 0.500 0.500
0.000 0.000 0.500



No. 7
MgZrFeC2 (PBE, relaxed); energy of formation from the pure elements = 1.2297 eV/atom; space group = P4/mmm (123); DFT total energy = -6.181 eV per atom
1.0
3.850 0.000 0.000
0.000 4.352 0.000
0.000 0.000 3.850
C Mg Fe Zr
2 1 1 1
Direct
0.000 0.000 0.500
0.500 0.000 0.000
0.000 0.500 0.000
0.000 0.000 0.000
0.500 0.500 0.500



No. 8
Mn3Fe3C (PBE, relaxed); energy of formation from the pure elements = 0.1112 eV/atom; space group = Fd-3m (227); DFT total energy = -8.763 eV per atom
1.0
-3.359 4.791 4.769
4.021 3.355 5.435
1.475 7.391 -0.413
Mn Fe C
12 12 4
Direct
0.061 0.439 0.061
0.189 0.189 0.811
0.811 0.811 0.189
0.811 0.189 0.811
0.811 0.189 0.189
0.189 0.811 0.811
0.439 0.061 0.061
0.061 0.061 0.439
0.439 0.439 0.061
0.061 0.439 0.439
0.189 0.811 0.189
0.439 0.061 0.439
0.834 0.834 0.834
0.416 0.416 0.751
0.416 0.751 0.416
0.751 0.416 0.416
0.834 0.499 0.834
0.499 0.834 0.834
0.834 0.834 0.499
0.416 0.416 0.416
0.625 0.625 0.625
0.625 0.625 0.125
0.625 0.125 0.625
0.125 0.625 0.625
0.125 0.125 0.125
0.125 0.125 0.625
0.125 0.625 0.125
0.625 0.125 0.125



No. 9
Mn4FeC (PBE, relaxed); energy of formation from the pure elements = 0.1512 eV/atom; space group = C2/c (15); DFT total energy = -8.910 eV per atom
1.0
4.396 0.233 0.000
-0.247 5.253 0.000
-2.075 -2.743 5.501
Mn Fe C
8 2 2
Direct
0.073 0.213 0.147
0.575 0.934 0.147
0.318 0.502 0.636
0.682 0.498 0.364
0.182 0.866 0.364
0.425 0.066 0.853
0.818 0.134 0.636
0.927 0.787 0.853
0.254 0.504 0.009
0.746 0.496 0.991
0.049 0.799 0.599
0.951 0.201 0.401



No. 10
MnFe2C (PBE, relaxed); energy of formation from the pure elements = 0.1868 eV/atom; space group = R-3m (166); DFT total energy = -8.643 eV per atom
1.0
2.797 0.000 0.000
1.399 2.423 0.000
1.399 0.808 6.312
C Mn Fe
1 1 2
Direct
0.000 0.000 0.000
0.500 0.500 0.500
0.722 0.722 0.833
0.278 0.278 0.167



No. 11
Mn21Fe2C6 (PBE, relaxed); energy of formation from the pure elements = -0.0302 eV/atom; space group = Fm-3m (225); DFT total energy = -9.162 eV per atom
1.0
6.335 0.000 3.658
2.112 5.973 3.658
0.000 0.000 7.315
Mn Fe C
21 2 6
Direct
0.000 0.000 0.000
0.620 0.620 0.140
0.620 0.620 0.620
0.620 0.140 0.620
0.140 0.620 0.620
0.380 0.380 0.860
0.380 0.380 0.380
0.380 0.860 0.380
0.860 0.380 0.380
0.660 0.000 0.340
0.000 0.660 0.340
0.000 0.000 0.340
0.000 0.660 0.000
0.660 0.000 0.000
0.000 0.000 0.660
0.000 0.340 0.000
0.000 0.340 0.660
0.660 0.340 0.000
0.340 0.000 0.660
0.340 0.000 0.000
0.340 0.660 0.000
0.750 0.750 0.750
0.250 0.250 0.250
0.278 0.722 0.278
0.722 0.278 0.278
0.722 0.722 0.278
0.722 0.278 0.722
0.278 0.722 0.722
0.278 0.278 0.722



No. 12
MnFe2C (PBE, relaxed); energy of formation from the pure elements = 0.7979 eV/atom; space group = I-42d (122); DFT total energy = -8.032 eV per atom
1.0
-0.404 -4.448 1.315
2.790 0.822 3.636
-2.292 -0.776 4.916
C Mn Fe
2 2 4
Direct
0.500 0.500 0.000
0.250 0.750 0.500
0.000 0.000 0.000
0.750 0.250 0.500
0.563 0.125 0.250
0.187 0.625 0.250
0.375 0.437 0.750
0.875 0.813 0.750